1.
HfPbS2: relaxed, GGA-PBE.

Cell and atoms, written as CIF:
```
data_HfPbS2
_chemical_formula_sum 'Hf2 Pb2 S4'
_symmetry_space_group_name_H-M 'P 1'
_symmetry_Int_Tables_number 1
_symmetry_space_group_name_Hall 'P 1'
_cell_length_a 6.919
_cell_length_b 6.919
_cell_length_c 5.920
_cell_angle_alpha 54.24
_cell_angle_beta 54.24
_cell_angle_gamma 90.00
loop_
_atom_site_label
_atom_site_fract_x
_atom_site_fract_y
_atom_site_fract_z
Pb1 0.250 0.750 0.500
Pb2 0.750 0.250 0.500
S1 0.250 0.250 0.000
S2 0.750 0.250 0.000
S3 0.750 0.750 0.000
S4 0.250 0.750 0.000
Hf1 0.750 0.750 0.500
Hf2 0.250 0.250 0.500
```

Space group ... P4/mmm (123)
Total magnetization ... 0.000 μB per cell
Uncorrected energy ... -46.478 eV for the cell shown


2.
HfPbS2: relaxed, GGA-PBE.

Cell and atoms, written as CIF:
```
data_HfPbS2
_chemical_formula_sum 'Hf8 Pb8 S16'
_symmetry_space_group_name_H-M 'P 1'
_symmetry_Int_Tables_number 1
_symmetry_space_group_name_Hall 'P 1'
_cell_length_a 17.366
_cell_length_b 7.577
_cell_length_c 7.577
_cell_angle_alpha 94.22
_cell_angle_beta 104.08
_cell_angle_gamma 75.92
loop_
_atom_site_label
_atom_site_fract_x
_atom_site_fract_y
_atom_site_fract_z
S1 0.799 0.593 0.662
S2 0.701 0.162 0.093
S3 0.596 0.493 0.389
S4 0.250 0.786 0.286
S5 0.904 0.889 0.993
S6 0.931 0.825 0.482
S7 0.250 0.355 0.855
S8 0.404 0.507 0.611
S9 0.299 0.838 0.907
S10 0.069 0.175 0.518
S11 0.201 0.407 0.338
S12 0.431 0.018 0.675
S13 0.750 0.645 0.145
S14 0.569 0.982 0.325
S15 0.750 0.214 0.714
S16 0.096 0.111 0.007
Hf1 0.687 0.712 0.403
Hf2 0.313 0.288 0.597
Hf3 0.826 0.895 0.661
Hf4 0.174 0.105 0.339
Hf5 0.326 0.839 0.605
Hf6 0.187 0.097 0.788
Hf7 0.813 0.903 0.212
Hf8 0.674 0.161 0.395
Pb1 0.407 0.569 0.249
Pb2 0.885 0.230 0.491
Pb3 0.385 0.009 0.270
Pb4 0.907 0.251 0.931
Pb5 0.593 0.431 0.751
Pb6 0.093 0.749 0.069
Pb7 0.615 0.991 0.730
Pb8 0.115 0.770 0.509
```

Space group ... C2/c (15)
Total magnetization ... 0.000 μB per cell
Uncorrected energy ... -202.149 eV for the cell shown


3.
HfPbS2: relaxed, GGA-PBE.

Cell and atoms, written as CIF:
```
data_HfPbS2
_chemical_formula_sum 'Hf2 Pb2 S4'
_symmetry_space_group_name_H-M 'P 1'
_symmetry_Int_Tables_number 1
_symmetry_space_group_name_Hall 'P 1'
_cell_length_a 5.774
_cell_length_b 7.066
_cell_length_c 7.066
_cell_angle_alpha 71.17
_cell_angle_beta 109.65
_cell_angle_gamma 70.35
loop_
_atom_site_label
_atom_site_fract_x
_atom_site_fract_y
_atom_site_fract_z
Hf1 0.750 0.221 0.721
Hf2 0.250 0.779 0.279
Pb1 0.250 0.079 0.579
Pb2 0.750 0.921 0.421
S1 0.653 0.471 0.327
S2 0.847 0.827 0.971
S3 0.347 0.529 0.673
S4 0.153 0.173 0.029
```

Space group ... C2/c (15)
Total magnetization ... 0.000 μB per cell
Uncorrected energy ... -50.352 eV for the cell shown


4.
HfPbSeS2: relaxed, GGA-PBE.

Cell and atoms, written as CIF:
```
data_HfPbSeS2
_chemical_formula_sum 'Hf1 Pb1 Se1 S2'
_symmetry_space_group_name_H-M 'P 1'
_symmetry_Int_Tables_number 1
_symmetry_space_group_name_Hall 'P 1'
_cell_length_a 4.867
_cell_length_b 5.433
_cell_length_c 4.867
_cell_angle_alpha 90.00
_cell_angle_beta 90.00
_cell_angle_gamma 90.00
loop_
_atom_site_label
_atom_site_fract_x
_atom_site_fract_y
_atom_site_fract_z
Hf1 0.500 0.500 0.500
Pb1 0.000 0.500 0.000
S1 0.000 0.000 0.500
S2 0.500 0.000 0.000
Se1 0.000 0.000 0.000
```

Space group ... P4/mmm (123)
Total magnetization ... 0.000 μB per cell
Uncorrected energy ... -21.975 eV for the cell shown


5.
HfTl2PbS4: relaxed, GGA-PBE.

Cell and atoms, written as CIF:
```
data_HfTl2PbS4
_chemical_formula_sum 'Hf1 Tl2 Pb1 S4'
_symmetry_space_group_name_H-M 'P 1'
_symmetry_Int_Tables_number 1
_symmetry_space_group_name_Hall 'P 1'
_cell_length_a 3.934
_cell_length_b 7.730
_cell_length_c 7.166
_cell_angle_alpha 73.83
_cell_angle_beta 90.00
_cell_angle_gamma 90.00
loop_
_atom_site_label
_atom_site_fract_x
_atom_site_fract_y
_atom_site_fract_z
S1 0.500 0.309 0.701
S2 0.000 0.702 0.726
S3 0.500 0.691 0.299
S4 0.000 0.298 0.274
Pb1 0.500 0.500 0.000
Tl1 0.000 0.000 0.000
Tl2 0.500 0.000 0.500
Hf1 0.000 0.500 0.500
```

Space group ... P2/m (10)
Total magnetization ... 0.000 μB per cell
Uncorrected energy ... -41.685 eV for the cell shown


6.
HfUPbS6: relaxed, GGA-PBE.

Cell and atoms, written as CIF:
```
data_HfUPbS6
_chemical_formula_sum 'Hf2 U2 Pb2 S12'
_symmetry_space_group_name_H-M 'P 1'
_symmetry_Int_Tables_number 1
_symmetry_space_group_name_Hall 'P 1'
_cell_length_a 6.614
_cell_length_b 6.614
_cell_length_c 12.550
_cell_angle_alpha 90.00
_cell_angle_beta 90.00
_cell_angle_gamma 120.00
loop_
_atom_site_label
_atom_site_fract_x
_atom_site_fract_y
_atom_site_fract_z
S1 0.630 0.628 0.134
S2 0.628 0.998 0.866
S3 0.002 0.372 0.634
S4 0.372 0.370 0.366
S5 0.628 0.630 0.634
S6 0.998 0.628 0.366
S7 0.370 0.998 0.634
S8 0.630 0.002 0.366
S9 0.370 0.372 0.866
S10 0.998 0.370 0.134
S11 0.002 0.630 0.866
S12 0.372 0.002 0.134
U1 0.333 0.667 0.250
U2 0.667 0.333 0.750
Pb1 0.000 0.000 0.500
Pb2 0.000 0.000 0.000
Hf1 0.333 0.667 0.750
Hf2 0.667 0.333 0.250
```

Space group ... P-31c (163)
Total magnetization ... 0.175 μB per cell
Uncorrected energy ... -119.540 eV for the cell shown